Ho6TeAs3Se2: optimized geometry, PBE.

The value obtained for the formation energy without anion corrections is -1.607 eV/atom.

The structure belongs to space group C2/m (No. 12); the cell edges are 18.064, 4.115 and 8.301 Å and the angles 90.00°, 103.96° and 90.00°. The asymmetric unit holds Ho at (0.002, 0.000, 0.230), Ho at (0.164, 0.500, 0.090), Ho at (0.175, 0.500, 0.578), Te at (0.000, 0.500, 0.500), As at (0.000, 0.500, 0.000), As at (0.165, 0.000, 0.332) and Se at (0.168, 0.000, 0.834).

Ho4TeAs2Se: optimized geometry, PBE.

The value obtained for the formation energy without anion corrections is -1.567 eV/atom.

The structure belongs to space group P2/m (No. 10); the cell edges are 7.162, 4.134 and 7.270 Å and the angles 90.00°, 109.21° and 90.00°. The asymmetric unit holds Ho at (0.234, 0.000, 0.223), Ho at (0.250, 0.500, 0.770), Te at (0.500, 0.500, 0.500), As at (0.000, 0.500, 0.000), As at (0.500, 0.000, 0.000) and Se at (0.000, 0.000, 0.500).